First-principles (PBE-GGA) data for an optimized crystal structure of NdY7Er5, as listed in Alexandria.

Values from the calculation:
Energy of formation (eV per atom): 0.24

abc: 6.6732 11.1580 11.5837
angles: 90.00 90.00 90.00
With the nearest neighbours (Å) after each atom.
Space group Imm2 (No. 44)
Inequivalent atoms, fractional coordinates:
1 Nd 0.0000 0.0000 0.0000 (multiplicity 2)  7 Y 3.50-3.89, 4 Er 3.76
2 Y 0.0000 0.0000 0.3872 (multiplicity 2)  9 Y 3.60-4.00, 4 Er 3.74
3 Y 0.0000 0.0000 0.6978 (multiplicity 2)  6 Er 3.34-3.50, 1 Nd 3.50, 1 Y 3.60
4 Y 0.0000 0.3261 0.9438 (multiplicity 4)  5 Er 3.44-3.47, 3 Y 3.45-3.77, 1 Nd 3.70
5 Y 0.0000 0.3309 0.4426 (multiplicity 4)  5 Er 3.46-3.49, 5 Y 3.50-3.77
6 Y 0.0000 0.5000 0.6974 (multiplicity 2)  4 Er 3.12, 2 Y 3.45
7 Er 0.0000 0.5000 0.1887 (multiplicity 2)  6 Y 3.34-3.49, 4 Er 3.40
8 Er 0.2342 0.2298 0.1950 (multiplicity 8)  5 Y 3.12-3.49, 2 Er 3.13-3.40

---

First-principles (PBE-GGA) data for an optimized crystal structure of SmPuCuIr, as listed in Alexandria.

Values from the calculation:
Energy of formation (eV per atom): -0.32

abc: 6.9701 6.9701 6.9701
angles: 90.00 90.00 90.00
With the nearest neighbours (Å) after each atom.
Space group F-43m (No. 216)
Inequivalent atoms, fractional coordinates:
1 Sm 0.0000 0.0000 0.0000 (multiplicity 4)  4 Cu 3.02, 4 Ir 3.02
2 Pu 0.0000 0.0000 0.5000 (multiplicity 4)  4 Ir 3.02, 4 Cu 3.02
3 Cu 0.2500 0.2500 0.7500 (multiplicity 4)  4 Sm 3.02, 4 Pu 3.02
4 Ir 0.2500 0.2500 0.2500 (multiplicity 4)  4 Sm 3.02, 4 Pu 3.02

---

First-principles (PBE-GGA) data for an optimized crystal structure of AlFeP, as listed in Alexandria.

Values from the calculation:
Energy of formation (eV per atom): -0.12

abc: 6.4726 6.4726 3.1704
angles: 90.00 90.00 120.00
With the nearest neighbours (Å) after each atom.
Space group P-62m (No. 189)
Inequivalent atoms, fractional coordinates:
1 Al 0.0000 0.2723 0.0000 (multiplicity 3)  4 Fe 2.37-2.38
2 Fe 0.0000 0.0000 0.5000 (multiplicity 1)  6 Al 2.37, 3 P 2.39
3 Fe 0.3333 0.6667 0.0000 (multiplicity 2)  3 Al 2.38, 6 P 2.59
4 P 0.0000 0.6304 0.5000 (multiplicity 3)  5 Fe 2.39-2.59, 4 Al 2.67

---

First-principles (PBE-GGA) data for an optimized crystal structure of Y3ScSn, as listed in Alexandria.

Values from the calculation:
Energy of formation (eV per atom): 0.32

abc: 5.7144 5.7144 5.7144
angles: 90.00 90.00 90.00
With the nearest neighbours (Å) after each atom.
Space group Pm-3m (No. 221)
Inequivalent atoms, fractional coordinates:
1 Y 0.0000 0.0000 0.5000 (multiplicity 3)  2 Sn 2.86
2 Sc 0.5000 0.5000 0.5000 (multiplicity 1)  12 Y 4.04
3 Sn 0.0000 0.0000 0.0000 (multiplicity 1)  6 Y 2.86

---

First-principles (PBE-GGA) data for an optimized crystal structure of MgAg6Hg2, as listed in Alexandria.

Values from the calculation:
Energy of formation (eV per atom): 0.02

abc: 8.5485 5.7779 7.5149
angles: 90.00 106.36 90.00
With the nearest neighbours (Å) after each atom.
Space group C2/m (No. 12)
Inequivalent atoms, fractional coordinates:
1 Mg 0.0000 0.0000 0.0000 (multiplicity 2)  4 Ag 2.82, 2 Hg 3.01
2 Ag 0.0455 0.2541 0.6982 (multiplicity 8)  1 Mg 2.82, 7 Ag 2.84-3.01, 2 Hg 2.89-3.13
3 Ag 0.2483 0.0000 0.4917 (multiplicity 4)  10 Ag 2.89-3.01, 1 Hg 3.08
4 Hg 0.1751 0.5000 0.0826 (multiplicity 4)  7 Ag 2.89-3.17, 1 Hg 2.90, 3 Mg 3.01-3.23

---

First-principles (PBE-GGA) data for an optimized crystal structure of HoCrFeP2, as listed in Alexandria.

Values from the calculation:
Energy of formation (eV per atom): -0.87

abc: 3.8657 3.8657 9.6490
angles: 90.00 90.00 90.00
With the nearest neighbours (Å) after each atom.
Space group I-4m2 (No. 119)
Inequivalent atoms, fractional coordinates:
1 Ho 0.0000 0.0000 0.0000 (multiplicity 2)  8 P 3.00, 4 Cr 3.09, 4 Fe 3.09
2 Cr 0.0000 0.5000 0.7500 (multiplicity 2)  4 P 2.26
3 Fe 0.0000 0.5000 0.2500 (multiplicity 2)  4 P 2.26
4 P 0.0000 0.0000 0.3712 (multiplicity 4)  2 Cr 2.26, 2 Fe 2.26, 1 P 2.49

---

First-principles (PBE-GGA) data for an optimized crystal structure of BeHgPt3, as listed in Alexandria.

Values from the calculation:
Energy of formation (eV per atom): -0.30

abc: 4.0312 4.0209 9.4879
angles: 90.00 102.16 90.00
With the nearest neighbours (Å) after each atom.
Space group Cm (No. 8)
Inequivalent atoms, fractional coordinates:
1 Be 0.0000 0.0000 0.0000 (multiplicity 2)  8 Pt 2.44-2.47
2 Hg 0.3039 0.5000 0.6089 (multiplicity 2)  4 Hg 2.85, 8 Pt 2.95-3.02
3 Pt 0.0758 0.5000 0.1543 (multiplicity 2)  4 Be 2.47
4 Pt 0.1869 0.0000 0.3757 (multiplicity 2)  8 Pt 2.85-2.88, 4 Hg 2.95-2.96
5 Pt 0.4263 0.0000 0.8502 (multiplicity 2)  4 Be 2.44-2.45

---

First-principles (PBE-GGA) data for an optimized crystal structure of Ho4Cd9Pb11, as listed in Alexandria.

Values from the calculation:
Energy of formation (eV per atom): -0.07

abc: 15.5954 24.0463 3.6222
angles: 90.00 90.00 90.00
With the nearest neighbours (Å) after each atom.
Space group Cmmm (No. 65)
Inequivalent atoms, fractional coordinates:
1 Ho 0.1618 0.1039 0.0000 (multiplicity 8)  6 Pb 3.13-3.27, 2 Cd 3.24-3.31
2 Cd 0.0000 0.0000 0.0000 (multiplicity 2)  4 Ho 3.55, 8 Pb 3.56-3.58, 2 Cd 3.62
3 Cd 0.0981 0.2352 0.0000 (multiplicity 8)  1 Cd 3.06, 2 Pb 3.22, 1 Ho 3.31
4 Cd 0.1368 0.4289 0.0000 (multiplicity 8)  1 Ho 3.24, 8 Pb 3.28-3.60, 3 Cd 3.42-3.62
5 Pb 0.0000 0.1286 0.5000 (multiplicity 4)  4 Ho 3.16, 4 Cd 3.49
6 Pb 0.0000 0.3426 0.5000 (multiplicity 4)  5 Pb 3.40-3.78, 8 Cd 3.48-3.51
7 Pb 0.0000 0.5000 0.5000 (multiplicity 2)  8 Cd 3.28, 2 Pb 3.62
8 Pb 0.1966 0.0000 0.5000 (multiplicity 4)  4 Ho 3.13
9 Pb 0.2143 0.3160 0.5000 (multiplicity 8)  4 Cd 3.22-3.48, 2 Ho 3.27, 2 Pb 3.36-3.40

---

First-principles (PBE-GGA) data for an optimized crystal structure of PuTh2Se4, as listed in Alexandria.

Values from the calculation:
Calculated total energy (eV per formula unit): -54.3

abc: 8.8260 8.8260 8.8666
angles: 90.00 90.00 90.00
With the nearest neighbours (Å) after each atom.
Space group I-42d (No. 122)
Inequivalent atoms, fractional coordinates:
1 Pu 0.0000 0.0000 0.0000 (multiplicity 4)  8 Se 2.97-3.14
2 Th 0.1195 0.2500 0.6250 (multiplicity 8)  8 Se 3.00-3.15
3 Se 0.0772 0.1760 0.2974 (multiplicity 16)  2 Pu 2.97-3.14, 4 Th 3.00-3.15, 1 Se 3.32

---

First-principles (PBE-GGA) data for an optimized crystal structure of MgIrRu2, as listed in Alexandria.

Values from the calculation:
Energy of formation (eV per atom): 0.01

abc: 9.1901 2.7673 4.6828
angles: 90.00 99.86 90.00
With the nearest neighbours (Å) after each atom.
Space group C2/m (No. 12)
Inequivalent atoms, fractional coordinates:
1 Mg 0.0000 0.0000 0.0000 (multiplicity 2)  6 Ru 2.68-2.84, 4 Ir 2.72, 2 Mg 2.77
2 Ir 0.0000 0.5000 0.5000 (multiplicity 2)  6 Ru 2.69-2.82, 4 Mg 2.72, 2 Ir 2.77
3 Ru 0.2399 0.0000 0.7436 (multiplicity 4)  3 Mg 2.68-2.84, 3 Ir 2.69-2.82, 6 Ru 2.70-2.77

---

First-principles (PBE-GGA) data for an optimized crystal structure of Sm2TmPu, as listed in Alexandria.

Values from the calculation:
Energy of formation (eV per atom): 0.21

abc: 7.9554 7.9554 7.9554
angles: 90.00 90.00 90.00
With the nearest neighbours (Å) after each atom.
Space group Fm-3m (No. 225)
Inequivalent atoms, fractional coordinates:
1 Sm 0.2500 0.2500 0.2500 (multiplicity 8)  4 Tm 3.44, 4 Pu 3.44
2 Tm 0.0000 0.0000 0.0000 (multiplicity 4)  8 Sm 3.44
3 Pu 0.0000 0.0000 0.5000 (multiplicity 4)  8 Sm 3.44

---

First-principles (PBE-GGA) data for an optimized crystal structure of U2BeRu, as listed in Alexandria.

Values from the calculation:
Energy of formation (eV per atom): 0.65

abc: 2.8615 2.8615 30.9955
angles: 90.00 90.00 120.00
With the nearest neighbours (Å) after each atom.
Space group R-3m (No. 166, hexagonal axes)
Inequivalent atoms, fractional coordinates:
1 U 0.0000 0.0000 0.0904 (multiplicity 6)  1 Be 2.80, 6 U 2.86, 3 Ru 2.88
2 Be 0.0000 0.0000 0.0000 (multiplicity 3)  2 U 2.80, 6 Be 2.86
3 Ru 0.0000 0.0000 0.5000 (multiplicity 3)  6 Ru 2.86, 6 U 2.88

---

First-principles (PBE-GGA) data for an optimized crystal structure of GdHo2Au, as listed in Alexandria.

Values from the calculation:
Energy of formation (eV per atom): -0.40

abc: 3.5760 3.5760 8.6922
angles: 90.00 90.00 90.00
With the nearest neighbours (Å) after each atom.
Space group P4/mmm (No. 123)
Inequivalent atoms, fractional coordinates:
1 Gd 0.0000 0.0000 0.0000 (multiplicity 1)  4 Gd 3.58, 8 Ho 3.61
2 Ho 0.5000 0.5000 0.2969 (multiplicity 2)  4 Au 3.08
3 Au 0.0000 0.0000 0.5000 (multiplicity 1)  8 Ho 3.08

---

First-principles (PBE-GGA) data for an optimized crystal structure of Nd2Zn3NiPt4, as listed in Alexandria.

Values from the calculation:
Energy of formation (eV per atom): -0.71

abc: 4.1001 4.1001 11.1401
angles: 90.00 90.00 90.00
With the nearest neighbours (Å) after each atom.
Space group P-4m2 (No. 115)
Inequivalent atoms, fractional coordinates:
1 Nd 0.0000 0.5000 0.2453 (multiplicity 2)  8 Pt 3.13-3.50, 6 Zn 3.18-3.42, 2 Ni 3.42
2 Zn 0.0000 0.0000 0.0000 (multiplicity 1)  4 Pt 2.58
3 Zn 0.0000 0.5000 0.6363 (multiplicity 2)  5 Pt 2.49-2.55
4 Ni 0.5000 0.5000 0.0000 (multiplicity 1)  4 Pt 2.58
5 Pt 0.0000 0.0000 0.5000 (multiplicity 1)  4 Zn 2.55
6 Pt 0.0000 0.5000 0.8600 (multiplicity 2)  3 Zn 2.49-2.58, 2 Ni 2.58
7 Pt 0.5000 0.5000 0.5000 (multiplicity 1)  4 Zn 2.55

---

First-principles (PBE-GGA) data for an optimized crystal structure of Pu2NpRu, as listed in Alexandria.

Values from the calculation:
Energy of formation (eV per atom): 0.13

abc: 4.9750 4.9750 3.0705
angles: 90.00 90.00 90.00
With the nearest neighbours (Å) after each atom.
Space group P4/mmm (No. 123)
Inequivalent atoms, fractional coordinates:
1 Pu 0.0000 0.5000 0.0000 (multiplicity 2)  4 Ru 2.92, 4 Np 2.92, 2 Pu 3.07
2 Np 0.0000 0.0000 0.5000 (multiplicity 1)  8 Pu 2.92, 2 Np 3.07
3 Ru 0.5000 0.5000 0.5000 (multiplicity 1)  8 Pu 2.92, 2 Ru 3.07

---

First-principles (PBE-GGA) data for an optimized crystal structure of PmPr2Tl9, as listed in Alexandria.

Values from the calculation:
Energy of formation (eV per atom): -0.32

abc: 4.8438 4.8438 14.5280
angles: 90.00 90.00 90.00
With the nearest neighbours (Å) after each atom.
Space group P4/mmm (No. 123)
Inequivalent atoms, fractional coordinates:
1 Pm 0.0000 0.0000 0.0000 (multiplicity 1)  12 Tl 3.41-3.43
2 Pr 0.0000 0.0000 0.3324 (multiplicity 2)  12 Tl 3.43
3 Tl 0.0000 0.5000 0.1650 (multiplicity 4)  8 Tl 3.41-3.44, 2 Pm 3.41, 2 Pr 3.43
4 Tl 0.0000 0.5000 0.5000 (multiplicity 2)  8 Tl 3.43, 4 Pr 3.43
5 Tl 0.5000 0.5000 0.0000 (multiplicity 1)  8 Tl 3.41, 4 Pm 3.43
6 Tl 0.5000 0.5000 0.3330 (multiplicity 2)  4 Pr 3.43, 8 Tl 3.43-3.44

---

First-principles (PBE-GGA) data for an optimized crystal structure of Sm5ZnHg2, as listed in Alexandria.

Values from the calculation:
Energy of formation (eV per atom): -0.30

abc: 6.7094 12.8666 5.2218
angles: 90.00 90.00 90.00
With the nearest neighbours (Å) after each atom.
Space group Pbam (No. 55)
Inequivalent atoms, fractional coordinates:
1 Sm 0.0000 0.0000 0.0000 (multiplicity 2)  4 Hg 3.29, 2 Zn 3.35
2 Sm 0.1437 0.2811 0.0000 (multiplicity 4)  1 Zn 2.98, 2 Hg 3.21
3 Sm 0.1575 0.6048 0.5000 (multiplicity 4)  2 Zn 3.12, 2 Hg 3.15-3.27, 1 Sm 3.43
4 Zn 0.0000 0.5000 0.0000 (multiplicity 2)  6 Sm 2.98-3.12
5 Hg 0.1214 0.8581 0.5000 (multiplicity 4)  7 Sm 3.15-3.50

---

First-principles (PBE-GGA) data for an optimized crystal structure of Na3MnV2S6, as listed in Alexandria.

Values from the calculation:
Calculated total energy (eV per formula unit): -67.6

abc: 6.3763 10.5905 6.8487
angles: 90.00 107.97 90.00
With the nearest neighbours (Å) after each atom.
Space group C2/m (No. 12)
Inequivalent atoms, fractional coordinates:
1 Na 0.0000 0.0000 0.0000 (multiplicity 2)  6 S 2.78-2.87
2 Na 0.0000 0.3285 0.0000 (multiplicity 4)  6 S 2.81-2.90
3 Mn 0.0000 0.5000 0.5000 (multiplicity 2)  6 S 2.41-2.58
4 V 0.0000 0.1537 0.5000 (multiplicity 4)  6 S 2.39-2.52
5 S 0.2286 0.3341 0.6945 (multiplicity 8)  1 Mn 2.41, 2 V 2.49-2.52
6 S 0.2334 0.0000 0.7176 (multiplicity 4)  2 V 2.39, 1 Mn 2.58

---

First-principles (PBE-GGA) data for an optimized crystal structure of Pr6NiAg3, as listed in Alexandria.

Values from the calculation:
Energy of formation (eV per atom): -0.08

abc: 7.6207 7.7318 12.0291
angles: 90.00 119.62 90.00
With the nearest neighbours (Å) after each atom.
Space group P2_1/c (No. 14)
Inequivalent atoms, fractional coordinates:
1 Pr 0.0819 0.0325 0.2503 (multiplicity 4)  1 Ni 2.77
2 Pr 0.2100 0.6804 0.0759 (multiplicity 4)  1 Ni 2.84, 1 Ag 3.11
3 Pr 0.3632 0.1648 0.0645 (multiplicity 4)  1 Ni 2.79, 1 Ag 3.03
4 Ni 0.0000 0.0000 0.0000 (multiplicity 2)  6 Pr 2.77-2.84
5 Ag 0.3283 0.1260 0.7787 (multiplicity 4)  7 Pr 3.12-3.41
6 Ag 0.5000 0.0000 0.5000 (multiplicity 2)  6 Pr 3.03-3.13

---

First-principles (PBE-GGA) data for an optimized crystal structure of Ti4BeGa, as listed in Alexandria.

Values from the calculation:
Energy of formation (eV per atom): -0.08

abc: 4.8968 5.1162 7.5194
angles: 90.00 90.00 90.00
With the nearest neighbours (Å) after each atom.
Space group Pmna (No. 53)
Inequivalent atoms, fractional coordinates:
1 Ti 0.0000 0.2365 0.1135 (multiplicity 4)  3 Be 2.86-3.15, 10 Ti 2.86-3.20, 3 Ga 2.92-3.20
2 Ti 0.2500 0.2278 0.7500 (multiplicity 4)  2 Ti 2.45, 2 Be 2.53, 2 Ga 2.64
3 Be 0.0000 0.0000 0.5000 (multiplicity 2)  4 Ti 2.53, 2 Ga 2.56
4 Ga 0.0000 0.5000 0.5000 (multiplicity 2)  2 Be 2.56, 4 Ti 2.64